DFT (PBE) results for crystalline Rb2Co2Re at its relaxed geometry.

Cell and atoms, written as CIF:
```
data_Rb2Co2Re
_space_group_name_H-M_alt 'P 4/m m m'
_space_group_IT_number 123
_space_group_name_Hall '-P 4 2'
_cell_length_a 6.7802
_cell_length_b 6.7802
_cell_length_c 4.3542
_cell_angle_alpha 90.00
_cell_angle_beta 90.00
_cell_angle_gamma 90.00
loop_
_atom_site_label
_atom_site_fract_x
_atom_site_fract_y
_atom_site_fract_z
Rb1 0.0000 0.5000 0.0000
Co1 0.0000 0.0000 0.5000
Co2 0.5000 0.5000 0.5000
Re1 0.0000 0.0000 0.0000
```

Properties
DOS at the Fermi energy in states/eV per cell: 6.103



DFT (PBE) results for crystalline RbCoRe3 at its relaxed geometry.

Cell and atoms, written as CIF:
```
data_RbCoRe3
_space_group_name_H-M_alt 'P m -3 m'
_space_group_IT_number 221
_space_group_name_Hall '-P 4 2 3'
_cell_length_a 4.6006
_cell_length_b 4.6006
_cell_length_c 4.6006
_cell_angle_alpha 90.00
_cell_angle_beta 90.00
_cell_angle_gamma 90.00
loop_
_atom_site_label
_atom_site_fract_x
_atom_site_fract_y
_atom_site_fract_z
Rb1 0.0000 0.0000 0.0000
Co1 0.5000 0.5000 0.5000
Re1 0.0000 0.0000 0.5000
```

Properties
Relative energy among the computed polymorphs in meV/atom: 2172
DOS at the Fermi energy in states/eV per cell: 7.273



| no. | electronic total energy (eV/atom) |
| --- | --- |
| 1 | -3.76 |
| 2 | -4.71 |